# 1
Entry from Alexandria: a relaxed YOsAu2 crystal (PBE).

Results
The polymorph energy (0 for the lowest one) is 577 meV per atom. As for the space-group type: R-3m (166). The volume is 18.7 Å³ per atom. The total magnetic moment is 0.0 μB/f.u.

a b c (Å): 9.9357 9.9357 9.9357
angles (deg): 17.18 17.18 17.18
Fractional positions:
Au (0.0057, 0.0057, 0.0057)
Au (0.4943, 0.4943, 0.4943)
Os (0.7500, 0.7500, 0.7500)
Y (0.2500, 0.2500, 0.2500)

***

# 2
Entry from Alexandria: a relaxed Dy3Os crystal (PBE).

Results
As for the space-group type: P4_2/n (86). The volume is 26.0 Å³ per atom. The total magnetic moment is 0.0 μB/f.u. As for the raw total energy: -6.43 eV/atom.

a b c (Å): 6.1446 11.6296 11.6296
angles (deg): 90.00 90.00 90.00
Fractional positions:
Dy (0.2305, 0.3678, 0.4491)
Dy (0.5509, 0.3709, 0.9148)
Dy (0.2695, 0.8678, 0.9491)
Dy (0.9579, 0.8381, 0.7184)
Dy (0.9491, 0.1291, 0.5852)
Dy (0.0509, 0.5852, 0.8709)
Dy (0.4579, 0.7816, 0.3381)
Dy (0.7695, 0.5509, 0.3678)
Dy (0.5421, 0.3381, 0.2184)
Dy (0.5509, 0.6291, 0.0852)
Dy (0.0421, 0.2816, 0.8381)
Dy (0.0421, 0.7184, 0.1619)
Dy (0.5421, 0.6619, 0.7816)
Dy (0.7695, 0.4491, 0.6322)
Dy (0.4579, 0.2184, 0.6619)
Dy (0.9579, 0.1619, 0.2816)
Dy (0.2305, 0.6322, 0.5509)
Dy (0.7305, 0.9491, 0.1322)
Dy (0.7305, 0.0509, 0.8678)
Dy (0.0509, 0.4148, 0.1291)
Dy (0.4491, 0.0852, 0.3709)
Dy (0.4491, 0.9148, 0.6291)
Dy (0.2695, 0.1322, 0.0509)
Dy (0.9491, 0.8709, 0.4148)
Os (0.7803, 0.7946, 0.9423)
Os (0.7197, 0.7054, 0.5577)
Os (0.2803, 0.4423, 0.7054)
Os (0.7803, 0.2054, 0.0577)
Os (0.2803, 0.5577, 0.2946)
Os (0.2197, 0.0577, 0.7946)
Os (0.7197, 0.2946, 0.4423)
Os (0.2197, 0.9423, 0.2054)

***

# 3
Entry from Alexandria: a relaxed AsP2WS crystal (PBE).

Results
The polymorph energy (0 for the lowest one) is 799 meV per atom. As for the space-group type: P4/mmm (123). The volume is 19.1 Å³ per atom. The total magnetic moment is 2.1 μB/f.u. The formation energy from raw total energies comes out at 1.46 eV/atom.

a b c (Å): 4.5492 4.5492 4.6105
angles (deg): 90.00 90.00 90.00
Each line ends with the local moment (μB).
Fractional positions:
S (0.0000, 0.0000, 0.5000)  -0.17
P (0.0000, 0.5000, 0.0000)  -0.15
P (0.5000, 0.0000, 0.0000)  -0.15
As (0.0000, 0.0000, 0.0000)  0.01
W (0.5000, 0.5000, 0.5000)  2.23

***

# 4
Entry from Alexandria: a relaxed Mn12Rh4N crystal (PBE).

Results
As for the space-group type: P2/m (10). The volume is 12.1 Å³ per atom. The total magnetic moment is 4.3 μB/f.u. The formation energy from raw total energies comes out at -0.14 eV/atom.

a b c (Å): 5.2337 4.2596 9.1991
angles (deg): 90.22 90.00 90.00
Each line ends with the local moment (μB).
Fractional positions:
Mn (0.7478, 0.7504, 0.5816)  -1.89
Mn (0.7416, 0.2404, 0.9126)  -1.95
Mn (0.2584, 0.7596, 0.0874)  -1.95
Mn (0.0000, 0.2375, 0.1738)  2.74
Mn (0.0000, 0.7625, 0.8262)  2.74
Mn (0.5000, 0.7535, 0.3394)  2.80
Mn (0.7478, 0.2496, 0.4184)  -1.89
Mn (0.2584, 0.2404, 0.9126)  -1.95
Mn (0.5000, 0.2465, 0.6606)  2.80
Mn (0.2522, 0.7504, 0.5816)  -1.89
Mn (0.2522, 0.2496, 0.4184)  -1.89
Mn (0.7416, 0.7596, 0.0874)  -1.95
Rh (0.5000, 0.7478, 0.8324)  -0.04
Rh (0.0000, 0.7488, 0.3423)  0.00
Rh (0.0000, 0.2512, 0.6577)  0.00
Rh (0.5000, 0.2522, 0.1676)  -0.04
N (0.0000, 0.5000, 0.0000)  0.02

***

# 5
Entry from Alexandria: a relaxed Sm4Dy11Er9 crystal (PBE).

Results
As for the space-group type: Cmmm (65). The volume is 31.7 Å³ per atom. The total magnetic moment is 0.0 μB/f.u. As for the raw total energy: -4.55 eV/atom.

a b c (Å): 3.6610 15.0143 15.0143
angles (deg): 112.79 90.00 90.00
Fractional positions:
Dy (0.0000, 0.4070, 0.0446)
Dy (0.0000, 0.2898, 0.2898)
Dy (0.0000, 0.9554, 0.5930)
Dy (0.0000, 0.1593, 0.8407)
Dy (0.0000, 0.5930, 0.9554)
Dy (0.0000, 0.7102, 0.7102)
Dy (0.0000, 0.0446, 0.4070)
Dy (0.0000, 0.6343, 0.3657)
Dy (0.0000, 0.8407, 0.1593)
Dy (0.0000, 0.0000, 0.0000)
Dy (0.0000, 0.3657, 0.6343)
Er (0.5000, 0.1631, 0.6337)
Er (0.5000, 0.2124, 0.0670)
Er (0.5000, 0.9330, 0.7876)
Er (0.5000, 0.0670, 0.2124)
Er (0.5000, 0.5000, 0.5000)
Er (0.5000, 0.7876, 0.9330)
Er (0.5000, 0.3663, 0.8369)
Er (0.5000, 0.8369, 0.3663)
Er (0.5000, 0.6337, 0.1631)
Sm (0.5000, 0.4460, 0.2447)
Sm (0.5000, 0.2447, 0.4460)
Sm (0.5000, 0.7553, 0.5540)
Sm (0.5000, 0.5540, 0.7553)

***

# 6
Entry from Alexandria: a relaxed CaPdSe3 crystal (PBE).

Results
The polymorph energy (0 for the lowest one) is 0 meV per atom. As for the space-group type: Pm-3m (221). The volume is 24.9 Å³ per atom. The total magnetic moment is 0.0 μB/f.u. The formation energy from raw total energies comes out at -0.51 eV/atom.

a b c (Å): 4.9956 4.9956 4.9956
angles (deg): 90.00 90.00 90.00
Fractional positions:
Se (0.0000, 0.5000, 0.0000)
Se (0.0000, 0.0000, 0.5000)
Se (0.5000, 0.0000, 0.0000)
Ca (0.5000, 0.5000, 0.5000)
Pd (0.0000, 0.0000, 0.0000)

***

# 7
Entry from Alexandria: a relaxed SrNpAg2Br8 crystal (PBE).

Results
As for the space-group type: P-1 (2). The volume is 36.5 Å³ per atom. The total magnetic moment is 3.0 μB/f.u. The formation energy from raw total energies comes out at -1.14 eV/atom.

a b c (Å): 7.0657 7.3927 8.9864
angles (deg): 73.02 90.39 101.90
Each line ends with the local moment (μB).
Fractional positions:
Br (0.8776, 0.2130, 0.1746)  -0.04
Br (0.4024, 0.2577, 0.4260)  -0.01
Br (0.5976, 0.7423, 0.5740)  -0.01
Br (0.6366, 0.7646, 0.0293)  -0.05
Br (0.9000, 0.2434, 0.7148)  -0.03
Br (0.1224, 0.7870, 0.8254)  -0.04
Br (0.3634, 0.2354, 0.9707)  -0.05
Br (0.1000, 0.7566, 0.2852)  -0.03
Sr (0.0000, 0.0000, 0.5000)  0.00
Np (0.0000, 0.0000, 0.0000)  3.25
Ag (0.5267, 0.3419, 0.6843)  -0.01
Ag (0.4733, 0.6581, 0.3157)  -0.01

***

# 8
Entry from Alexandria: a relaxed HfNiH2 crystal (PBE).

Results
The polymorph energy (0 for the lowest one) is 238 meV per atom. As for the space-group type: R3m (160). The volume is 9.8 Å³ per atom. The total magnetic moment is 0.0 μB/f.u.

a b c (Å): 3.0202 3.0202 5.2666
angles (deg): 73.35 73.35 59.99
Fractional positions:
H (0.1361, 0.5810, 0.4898)
H (0.5892, 0.0343, 0.1301)
Hf (0.7312, 0.1762, 0.7048)
Ni (0.2480, 0.6930, 0.1538)

***

# 9
Entry from Alexandria: a relaxed NbHRuW2 crystal (PBE).

Results
The polymorph energy (0 for the lowest one) is 0 meV per atom. As for the space-group type: P4/mmm (123). The volume is 13.4 Å³ per atom. The total magnetic moment is 0.0 μB/f.u.

a b c (Å): 4.0022 4.0022 4.1730
angles (deg): 90.00 90.00 90.00
Fractional positions:
W (0.0000, 0.5000, 0.0000)
W (0.5000, 0.0000, 0.0000)
Nb (0.0000, 0.0000, 0.5000)
H (0.0000, 0.0000, 0.0000)
Ru (0.5000, 0.5000, 0.5000)

***

# 10
Entry from Alexandria: a relaxed Ce6BiPb3 crystal (PBE).

Results
As for the space-group type: P2_1/c (14). The volume is 30.4 Å³ per atom. The total magnetic moment is 5.0 μB/f.u. As for the raw total energy: -5.31 eV/atom.

a b c (Å): 6.2051 9.6211 10.1869
angles (deg): 90.00 89.61 90.00
Each line ends with the local moment (μB).
Fractional positions:
Ce (0.0653, 0.3342, 0.4390)  0.70
Ce (0.5664, 0.1686, 0.5637)  0.72
Ce (0.7478, 0.8793, 0.2492)  0.69
Ce (0.4336, 0.8314, 0.4363)  0.72
Ce (0.9347, 0.6658, 0.5610)  0.70
Ce (0.7522, 0.3793, 0.2508)  0.69
Ce (0.9336, 0.6686, 0.9363)  0.72
Ce (0.0664, 0.3314, 0.0637)  0.72
Ce (0.5653, 0.1658, 0.9390)  0.70
Ce (0.2522, 0.1207, 0.7508)  0.69
Ce (0.4347, 0.8342, 0.0610)  0.70
Ce (0.2478, 0.6207, 0.7492)  0.69
Pb (0.1301, 0.6206, 0.2468)  -0.01
Pb (0.0000, 0.0000, 0.5000)  -0.01
Pb (0.3699, 0.1206, 0.2532)  -0.01
Pb (0.6301, 0.8794, 0.7468)  -0.01
Pb (0.8699, 0.3794, 0.7532)  -0.01
Pb (0.5000, 0.5000, 0.0000)  -0.01
Bi (0.0000, 0.0000, 0.0000)  -0.01
Bi (0.5000, 0.5000, 0.5000)  -0.01

***

# 11
Entry from Alexandria: a relaxed Sn2TeAs2 crystal (PBE).

Results
The polymorph energy (0 for the lowest one) is 0 meV per atom. As for the space-group type: I4/mmm (139). The volume is 26.4 Å³ per atom. The total magnetic moment is 0.0 μB/f.u. The formation energy from raw total energies comes out at 0.01 eV/atom.

a b c (Å): 5.4160 5.4160 5.9086
angles (deg): 62.72 62.72 90.00
Fractional positions:
Te (0.0000, 0.0000, 0.0000)
As (0.3593, 0.3593, 0.2813)
As (0.6407, 0.6407, 0.7187)
Sn (0.7500, 0.2500, 0.5000)
Sn (0.2500, 0.7500, 0.5000)

***

# 12
Entry from Alexandria: a relaxed Al2TcNi crystal (PBE).

Results
As for the space-group type: F-43m (216). The volume is 13.6 Å³ per atom. The total magnetic moment is 0.0 μB/f.u. As for the raw total energy: -6.06 eV/atom.

a b c (Å): 4.2515 4.2515 4.2515
angles (deg): 60.00 60.00 60.00
Fractional positions:
Al (0.0000, 0.0000, 0.0000)
Al (0.7500, 0.7500, 0.7500)
Tc (0.2500, 0.2500, 0.2500)
Ni (0.5000, 0.5000, 0.5000)

***

# 13
Entry from Alexandria: a relaxed ThAlCu5 crystal (PBE).

Results
As for the space-group type: Pnma (62). The volume is 15.4 Å³ per atom. The total magnetic moment is 0.0 μB/f.u. As for the raw total energy: -4.78 eV/atom.

a b c (Å): 5.0854 8.1547 10.3724
angles (deg): 90.00 90.00 90.00
Fractional positions:
Th (0.7500, 0.7574, 0.0566)
Th (0.7500, 0.2574, 0.4434)
Th (0.2500, 0.7426, 0.5566)
Th (0.2500, 0.2426, 0.9434)
Cu (0.7500, 0.0689, 0.9055)
Cu (0.5065, 0.4334, 0.1935)
Cu (0.9935, 0.9334, 0.3065)
Cu (0.5065, 0.9334, 0.3065)
Cu (0.7500, 0.3217, 0.7448)
Cu (0.0065, 0.0666, 0.6935)
Cu (0.2500, 0.9311, 0.0945)
Cu (0.2500, 0.1783, 0.2448)
Cu (0.7500, 0.4077, 0.9838)
Cu (0.7500, 0.8217, 0.7552)
Cu (0.9935, 0.4334, 0.1935)
Cu (0.2500, 0.5923, 0.0162)
Cu (0.7500, 0.9077, 0.5162)
Cu (0.2500, 0.4311, 0.4055)
Cu (0.2500, 0.6783, 0.2552)
Cu (0.4935, 0.5666, 0.8065)
Cu (0.0065, 0.5666, 0.8065)
Cu (0.4935, 0.0666, 0.6935)
Cu (0.7500, 0.5689, 0.5945)
Cu (0.2500, 0.0923, 0.4838)
Al (0.7500, 0.1473, 0.1436)
Al (0.2500, 0.8527, 0.8564)
Al (0.2500, 0.3527, 0.6436)
Al (0.7500, 0.6473, 0.3564)

***

# 14
Entry from Alexandria: a relaxed PmPr5Dy6 crystal (PBE).

Results
The polymorph energy (0 for the lowest one) is 5 meV per atom. As for the space-group type: Immm (71). The volume is 33.6 Å³ per atom. The total magnetic moment is 0.0 μB/f.u.

a b c (Å): 5.1560 10.1484 9.5799
angles (deg): 121.98 105.60 90.00
Fractional positions:
Pm (0.0000, 0.0000, 0.0000)
Dy (0.5000, 0.2493, 0.0000)
Dy (0.1665, 0.9169, 0.3330)
Dy (0.8335, 0.0831, 0.6670)
Dy (0.5000, 0.7507, 0.0000)
Dy (0.8335, 0.5839, 0.6670)
Dy (0.1665, 0.4161, 0.3330)
Pr (0.6667, 0.6667, 0.3334)
Pr (0.0000, 0.5000, 0.0000)
Pr (0.3341, 0.8340, 0.6680)
Pr (0.3333, 0.3333, 0.6666)
Pr (0.6659, 0.1660, 0.3320)

***

# 15
Entry from Alexandria: a relaxed PdRhF2 crystal (PBE).

Results
The polymorph energy (0 for the lowest one) is 347 meV per atom. As for the space-group type: I-42d (122). The volume is 15.1 Å³ per atom. The total magnetic moment is 1.9 μB/f.u. The formation energy from raw total energies comes out at -0.24 eV/atom.

a b c (Å): 6.8898 6.8898 5.4970
angles (deg): 51.19 51.19 90.00
Each line ends with the local moment (μB).
Fractional positions:
Rh (0.2500, 0.7500, 0.5000)  1.24
Rh (0.5000, 0.5000, 0.0000)  1.24
F (0.3750, 0.4623, 0.7500)  0.07
F (0.2123, 0.6250, 0.2500)  0.07
F (0.5377, 0.1250, 0.2500)  0.07
F (0.8750, 0.7877, 0.7500)  0.07
Pd (0.7500, 0.2500, 0.5000)  0.46
Pd (0.0000, 0.0000, 0.0000)  0.46

***

# 16
Entry from Alexandria: a relaxed La3ZrGe crystal (PBE).

Results
The polymorph energy (0 for the lowest one) is 0 meV per atom. As for the space-group type: Pm-3m (221). The volume is 37.5 Å³ per atom. The total magnetic moment is 0.0 μB/f.u.

a b c (Å): 5.7250 5.7250 5.7250
angles (deg): 90.00 90.00 90.00
Fractional positions:
La (0.0000, 0.5000, 0.0000)
La (0.0000, 0.0000, 0.5000)
La (0.5000, 0.0000, 0.0000)
Zr (0.5000, 0.5000, 0.5000)
Ge (0.0000, 0.0000, 0.0000)

***

# 17
Entry from Alexandria: a relaxed Pm8Pr2Sc crystal (PBE).

Results
The polymorph energy (0 for the lowest one) is 0 meV per atom. As for the space-group type: C2/m (12). The volume is 33.8 Å³ per atom. The total magnetic moment is 0.0 μB/f.u.

a b c (Å): 5.1391 8.1105 9.5895
angles (deg): 104.72 105.54 90.00
Fractional positions:
Pr (0.2261, 0.6367, 0.4521)
Pr (0.7739, 0.3633, 0.5479)
Pm (0.8662, 0.8242, 0.7324)
Pm (0.4112, 0.5537, 0.8224)
Pm (0.1338, 0.1758, 0.2676)
Pm (0.3206, 0.0907, 0.6413)
Pm (0.5888, 0.4463, 0.1776)
Pm (0.6794, 0.9093, 0.3587)
Pm (0.9556, 0.2688, 0.9111)
Pm (0.0444, 0.7312, 0.0889)
Sc (0.5000, 0.0000, 0.0000)

***

# 18
Entry from Alexandria: a relaxed La2SbIr crystal (PBE).

Results
As for the space-group type: Pmmm (47). The volume is 30.8 Å³ per atom. The total magnetic moment is 0.0 μB/f.u. The formation energy from raw total energies comes out at -0.71 eV/atom.

a b c (Å): 4.4293 7.6867 6.2901
angles (deg): 35.09 90.00 90.00
Fractional positions:
La (0.5000, 0.5000, 0.0000)
La (0.0000, 0.0000, 0.0000)
Ir (0.0000, 0.0000, 0.5000)
Sb (0.5000, 0.5000, 0.5000)

***

# 19
Entry from Alexandria: a relaxed Rb6AgF8 crystal (PBE).

Results
As for the space-group type: R-3 (148). The volume is 21.6 Å³ per atom. The total magnetic moment is 1.0 μB/f.u. The formation energy from raw total energies comes out at -2.34 eV/atom.

a b c (Å): 7.2833 7.2833 7.2833
angles (deg): 68.90 68.90 68.90
Each line ends with the local moment (μB).
Fractional positions:
F (0.8442, 0.3043, 0.0909)  0.08
F (0.3404, 0.3404, 0.3404)  0.00
F (0.6957, 0.9091, 0.1558)  0.08
F (0.0909, 0.8442, 0.3043)  0.08
F (0.9091, 0.1558, 0.6957)  0.08
F (0.6596, 0.6596, 0.6596)  0.00
F (0.1558, 0.6957, 0.9091)  0.08
F (0.3043, 0.0909, 0.8442)  0.08
Rb (0.7040, 0.0618, 0.4845)  0.00
Rb (0.5155, 0.2960, 0.9382)  0.00
Rb (0.9382, 0.5155, 0.2960)  0.00
Rb (0.4845, 0.7040, 0.0618)  0.00
Rb (0.0618, 0.4845, 0.7040)  0.00
Rb (0.2960, 0.9382, 0.5155)  0.00
Ag (0.0000, 0.0000, 0.0000)  0.51

***

# 20
Entry from Alexandria: a relaxed PmDyHoTl crystal (PBE).

Results
The polymorph energy (0 for the lowest one) is 179 meV per atom. As for the space-group type: F-43m (216). The volume is 29.3 Å³ per atom. The total magnetic moment is 1.5 μB/f.u.

a b c (Å): 5.4902 5.4902 5.4902
angles (deg): 60.00 60.00 60.00
Each line ends with the local moment (μB).
Fractional positions:
Tl (0.0000, 0.0000, 0.0000)  0.01
Ho (0.2500, 0.2500, 0.2500)  0.34
Dy (0.7500, 0.7500, 0.7500)  0.33
Pm (0.5000, 0.5000, 0.5000)  0.41